Entry 1:
Mg2ZrBr | SCAN | single point on PBEsol structure

Summary:
Energy above the lowest structure with this stoichiometry ... 0.00 kcal/mol of atoms
E_form (uncorrected) ... 86 meV/atom
VASP energy ... -14.940 eV per atom
Symmetry ... I4/mmm

a b c (Å): 4.012 4.012 5.963
angles (deg): 109.66 109.66 90.00
Atoms (fractional coordinates):
Br: 0.000 0.000 0.000
Mg: 0.250 0.750 0.500
Zr: 0.500 0.500 0.000
Mg: 0.750 0.250 0.500



Entry 2:
Nd3Ga | SCAN | single point on PBEsol structure

Summary:
Formation enthalpy at 0 K ... -0.3076 eV per atom
VASP energy ... -37.081 eV per atom
Symmetry ... Pm-3m

a b c (Å): 4.762 4.762 4.762
angles (deg): 90.00 90.00 90.00
Each line ends with the local moment (μB).
Atoms (fractional coordinates):
Nd: 0.500 0.500 0.000  -0.12
Nd: 0.500 0.000 0.500  -0.12
Nd: 0.000 0.500 0.500  -0.12
Ga: 0.000 0.000 0.000  0.00



Entry 3:
K2CrBiTe | SCAN | single point on PBEsol structure

Summary:
E_form (uncorrected) ... -55 meV/atom
VASP energy ... -30.229 eV per atom
Symmetry ... P4/mmm

a b c (Å): 5.077 6.412 6.412
angles (deg): 90.00 90.00 90.00
Each line ends with the local moment (μB).
Atoms (fractional coordinates):
K: 0.000 0.000 0.500  0.00
Bi: 0.500 0.500 0.500  -0.59
K: 0.000 0.500 0.000  0.00
Cr: 0.500 0.000 0.000  4.10
Te: 0.000 0.000 0.000  -0.13



Entry 4:
WBrCl2 | SCAN | single point on PBEsol structure

Summary:
Energy above the lowest structure with this stoichiometry ... 14.17 kcal/mol of atoms
E_form (uncorrected) ... 301 meV/atom
VASP energy ... -25.974 eV per atom
Symmetry ... P4/mmm

a b c (Å): 2.978 2.978 8.840
angles (deg): 90.00 90.00 90.00
Atoms (fractional coordinates):
Cl: 0.000 0.000 0.835
Cl: 0.000 0.000 0.165
Br: 0.500 0.500 0.500
W: 0.500 0.500 0.000



Entry 5:
Ba2YI7 | SCAN | single point on PBEsol structure

Summary:
E_form (uncorrected) ... -1709 meV/atom
VASP energy ... -38.122 eV per atom
Symmetry ... Pnma

a b c (Å): 8.242 14.745 16.759
angles (deg): 90.00 90.00 90.00
Atoms (fractional coordinates):
I: 0.750 0.090 0.930
I: 0.018 0.835 0.586
I: 0.011 0.383 0.678
I: 0.482 0.835 0.586
I: 0.490 0.090 0.669
I: 0.482 0.335 0.914
I: 0.989 0.617 0.322
I: 0.510 0.410 0.169
I: 0.518 0.165 0.414
Ba: 0.250 0.242 0.563
I: 0.018 0.335 0.914
Y: 0.250 0.936 0.694
I: 0.982 0.165 0.414
I: 0.250 0.410 0.430
Y: 0.250 0.436 0.806
I: 0.989 0.117 0.178
I: 0.250 0.910 0.070
Ba: 0.250 0.765 0.220
I: 0.750 0.590 0.570
Ba: 0.750 0.235 0.780
I: 0.511 0.617 0.322
Y: 0.750 0.064 0.306
Ba: 0.750 0.758 0.437
I: 0.990 0.910 0.331
I: 0.511 0.117 0.178
Y: 0.750 0.564 0.194
I: 0.010 0.590 0.831
Ba: 0.750 0.735 0.720
I: 0.510 0.910 0.331
I: 0.490 0.590 0.831
I: 0.990 0.410 0.169
I: 0.010 0.090 0.669
Ba: 0.750 0.258 0.063
I: 0.489 0.383 0.678
I: 0.011 0.883 0.822
Ba: 0.250 0.265 0.280
I: 0.982 0.665 0.086
Ba: 0.250 0.742 0.937
I: 0.489 0.883 0.822
I: 0.518 0.665 0.086



Entry 6:
LiTaRe2 | SCAN | single point on PBEsol structure

Summary:
Formation enthalpy at 0 K ... 0.2395 eV per atom
Energy above the lowest structure with this stoichiometry ... 0.44 kcal/mol of atoms
VASP energy ... -52.553 eV per atom
Symmetry ... Cmmm

a b c (Å): 2.576 5.138 5.138
angles (deg): 117.26 90.00 90.00
Atoms (fractional coordinates):
Ta: 0.500 0.000 0.000
Li: 0.500 0.500 0.500
Re: 0.000 0.500 0.000
Re: 0.000 0.000 0.500



Entry 7:
P2OsSe | SCAN | single point on PBEsol structure

Summary:
E_form (uncorrected) ... 937 meV/atom
VASP energy ... -27.251 eV per atom
Symmetry ... Cmmm

a b c (Å): 3.017 4.447 4.447
angles (deg): 103.91 90.00 90.00
Atoms (fractional coordinates):
P: 0.000 0.000 0.500
Se: 0.500 0.000 0.000
Os: 0.500 0.500 0.500
P: 0.000 0.500 0.000



Entry 8:
MgIr2Rh | SCAN | single point on PBEsol structure

Summary:
Formation enthalpy at 0 K ... -0.2680 eV per atom
VASP energy ... -45.504 eV per atom
Symmetry ... C2/m

a b c (Å): 2.737 4.666 4.737
angles (deg): 99.45 106.79 90.00
Atoms (fractional coordinates):
Ir: 0.756 0.758 0.513
Ir: 0.244 0.242 0.487
Mg: 0.000 0.500 0.000
Rh: 0.500 0.000 0.000



Entry 9:
CaTl2Pt | SCAN | single point on PBEsol structure

Summary:
Formation enthalpy at 0 K ... -0.3715 eV per atom
VASP energy ... -56.515 eV per atom
Symmetry ... P2/m

a b c (Å): 3.792 4.706 5.499
angles (deg): 90.00 102.11 90.00
Atoms (fractional coordinates):
Ca: 0.500 0.500 0.000
Tl: 0.831 0.000 0.724
Tl: 0.169 0.000 0.276
Pt: 0.000 0.500 0.500



Entry 10:
Be2ZnInH | SCAN | single point on PBEsol structure

Summary:
VASP energy ... -11.122 eV per atom
Symmetry ... P4/mmm

a b c (Å): 3.361 4.459 4.459
angles (deg): 90.00 90.00 90.00
Atoms (fractional coordinates):
Be: 0.000 0.000 0.500
In: 0.500 0.500 0.500
Zn: 0.000 0.000 0.000
Be: 0.000 0.500 0.000
H: 0.500 0.000 0.000



Entry 11:
RuW3C | SCAN | single point on PBEsol structure

Summary:
Formation enthalpy at 0 K ... 0.3012 eV per atom
VASP energy ... -50.497 eV per atom
Symmetry ... Pm-3m

a b c (Å): 4.088 4.088 4.088
angles (deg): 90.00 90.00 90.00
Atoms (fractional coordinates):
C: 0.000 0.000 0.000
W: 0.000 0.500 0.000
W: 0.500 0.000 0.000
Ru: 0.500 0.500 0.500
W: 0.000 0.000 0.500



Entry 12:
K2Cu3Ge5O14 | SCAN | single point on PBEsol structure

Summary:
E_form (uncorrected) ... -1609 meV/atom
VASP energy ... -11.815 eV per atom
Symmetry ... P-1

a b c (Å): 6.241 7.178 7.842
angles (deg): 80.93 70.93 79.48
Each line ends with the local moment (μB).
Atoms (fractional coordinates):
O: 0.921 0.284 0.455  0.00
O: 0.727 0.501 0.772  0.01
O: 0.597 0.836 0.565  0.11
O: 0.428 0.829 0.221  0.01
Cu: 0.000 0.000 0.000  0.70
O: 0.684 0.108 0.092  0.17
O: 0.941 0.813 0.217  0.12
O: 0.273 0.499 0.228  0.01
Cu: 0.657 0.973 0.328  0.70
Ge: 0.213 0.263 0.313  0.01
Ge: 0.173 0.730 0.302  0.01
O: 0.403 0.164 0.435  0.11
Ge: 0.500 0.000 0.000  -0.01
Cu: 0.343 0.027 0.672  0.70
K: 0.726 0.486 0.161  0.00
O: 0.228 0.175 0.113  0.00
O: 0.059 0.187 0.783  0.12
O: 0.079 0.716 0.545  0.00
O: 0.572 0.171 0.779  0.01
Ge: 0.787 0.737 0.687  0.01
O: 0.772 0.825 0.887  0.00
O: 0.316 0.892 0.908  0.17
K: 0.274 0.514 0.839  0.00
Ge: 0.827 0.270 0.698  0.01